1.
{
  "formula": "Ba2PtW",
  "functional": "PBE",
  "state": "optimized geometry",
  "relative_energy_kj_per_mol_fu": 30.6,
  "dft_energy_ev_per_atom": -5.31,
  "dos_ef_per_ev_atom": 1.142,
  "vol_a3_per_cell": 134,
  "m_tot_mub_per_cell": 0.00,
  "lattice": [[-2.120, 2.641, 5.962], [2.120, -2.641, 5.962], [2.120, 2.641, -5.962]],
  "species": ["Ba", "Ba", "Pt", "W"],
  "frac_coords": [[0.000, 0.000, 0.000], [0.721, 0.221, 0.500], [0.309, 0.809, 0.500], [0.410, 0.410, 0.000]]
}


2.
{
  "formula": "Ba2PtW",
  "functional": "PBE",
  "state": "optimized geometry",
  "relative_energy_kj_per_mol_fu": 216.5,
  "dft_energy_ev_per_atom": -4.83,
  "dos_ef_per_ev_atom": 0.831,
  "vol_a3_per_cell": 124,
  "m_tot_mub_per_cell": 4.04,
  "lattice": [[0.000, 3.957, 3.957], [3.957, 0.000, 3.957], [3.957, 3.957, 0.000]],
  "species": ["Ba", "Ba", "Pt", "W"],
  "frac_coords": [[0.250, 0.250, 0.250], [0.750, 0.750, 0.750], [0.000, 0.000, 0.000], [0.500, 0.500, 0.500]]
}


3.
{
  "formula": "Ba2PtW",
  "functional": "PBE",
  "state": "optimized geometry",
  "relative_energy_kj_per_mol_fu": 239.3,
  "dft_energy_ev_per_atom": -4.77,
  "dos_ef_per_ev_atom": 0.895,
  "vol_a3_per_cell": 112,
  "m_tot_mub_per_cell": 3.97,
  "lattice": [[0.000, 3.825, 3.825], [3.825, 0.000, 3.825], [3.825, 3.825, 0.000]],
  "species": ["Ba", "Ba", "Pt", "W"],
  "frac_coords": [[0.000, 0.000, 0.000], [0.250, 0.250, 0.250], [0.750, 0.750, 0.750], [0.500, 0.500, 0.500]]
}


4.
{
  "formula": "BaPtW3",
  "functional": "PBE",
  "state": "optimized geometry",
  "relative_energy_kj_per_mol_fu": 941.9,
  "dft_energy_ev_per_atom": -5.54,
  "dos_ef_per_ev_atom": 1.419,
  "vol_a3_per_cell": 117,
  "m_tot_mub_per_cell": 0.00,
  "lattice": [[4.889, 0.000, 0.000], [0.000, 4.889, 0.000], [0.000, 0.000, 4.889]],
  "species": ["Ba", "Pt", "W", "W", "W"],
  "frac_coords": [[0.000, 0.000, 0.000], [0.500, 0.500, 0.500], [0.000, 0.000, 0.500], [0.000, 0.500, 0.000], [0.500, 0.000, 0.000]]
}


5.
{
  "formula": "BaPt2W",
  "functional": "PBE",
  "state": "optimized geometry",
  "relative_energy_kj_per_mol_fu": 191.7,
  "dft_energy_ev_per_atom": -6.49,
  "dos_ef_per_ev_atom": 1.157,
  "vol_a3_per_cell": 88,
  "m_tot_mub_per_cell": 0.00,
  "lattice": [[2.958, 0.000, 0.000], [0.000, 3.971, 0.000], [0.000, 0.000, 7.473]],
  "species": ["Ba", "Pt", "Pt", "W"],
  "frac_coords": [[0.000, 0.000, 0.000], [0.000, 0.000, 0.504], [0.500, 0.500, 0.294], [0.500, 0.500, 0.642]]
}


6.
{
  "formula": "BaPt2W",
  "functional": "PBE",
  "state": "optimized geometry",
  "relative_energy_kj_per_mol_fu": 230.2,
  "dft_energy_ev_per_atom": -6.39,
  "dos_ef_per_ev_atom": 0.920,
  "vol_a3_per_cell": 100,
  "m_tot_mub_per_cell": 0.00,
  "lattice": [[-1.937, 2.958, 4.377], [1.937, -2.958, 4.377], [1.937, 2.958, -4.377]],
  "species": ["Ba", "Pt", "Pt", "W"],
  "frac_coords": [[0.000, 0.000, 0.000], [0.316, 0.816, 0.500], [0.684, 0.184, 0.500], [0.500, 0.500, 0.000]]
}


7.
{
  "formula": "BaYPt",
  "functional": "PBE",
  "state": "optimized geometry",
  "relative_energy_kj_per_mol_fu": 36.0,
  "dft_energy_ev_per_atom": -5.45,
  "dos_ef_per_ev_atom": 0.720,
  "vol_a3_per_cell": 96,
  "m_tot_mub_per_cell": 0.00,
  "lattice": [[-1.868, 1.868, 6.853], [1.868, -1.868, 6.853], [1.868, 1.868, -6.853]],
  "species": ["Ba", "Y", "Pt"],
  "frac_coords": [[0.000, 0.000, 0.000], [0.255, 0.255, 0.000], [0.665, 0.665, 0.000]]
}


8.
{
  "formula": "BaYPt",
  "functional": "PBE",
  "state": "optimized geometry",
  "relative_energy_kj_per_mol_fu": 0.0,
  "dft_energy_ev_per_atom": -5.58,
  "dos_ef_per_ev_atom": 1.307,
  "vol_a3_per_cell": 192,
  "m_tot_mub_per_cell": 0.00,
  "lattice": [[5.013, 0.000, 0.000], [0.000, 5.013, 0.000], [0.000, 0.000, 7.634]],
  "species": ["Ba", "Ba", "Y", "Y", "Pt", "Pt"],
  "frac_coords": [[0.250, 0.250, 0.120], [0.750, 0.750, 0.880], [0.250, 0.750, 0.500], [0.750, 0.250, 0.500], [0.250, 0.250, 0.687], [0.750, 0.750, 0.313]]
}


9.
{
  "formula": "Ba2YPt2",
  "functional": "PBE",
  "state": "optimized geometry",
  "dft_energy_ev_per_atom": -5.13,
  "dos_ef_per_ev_atom": 0.819,
  "vol_a3_per_cell": 307,
  "m_tot_mub_per_cell": 0.00,
  "lattice": [[8.023, 0.000, 0.000], [0.000, 8.023, 0.000], [0.000, 0.000, 4.764]],
  "species": ["Ba", "Ba", "Ba", "Ba", "Y", "Y", "Pt", "Pt", "Pt", "Pt"],
  "frac_coords": [[0.157, 0.343, 0.000], [0.343, 0.843, 0.000], [0.657, 0.157, 0.000], [0.843, 0.657, 0.000], [0.000, 0.000, 0.500], [0.500, 0.500, 0.500], [0.157, 0.657, 0.500], [0.343, 0.157, 0.500], [0.657, 0.843, 0.500], [0.843, 0.343, 0.500]]
}


10.
{
  "formula": "Ba2YPt",
  "functional": "PBE",
  "state": "optimized geometry",
  "relative_energy_kj_per_mol_fu": 245.2,
  "dft_energy_ev_per_atom": -3.90,
  "dos_ef_per_ev_atom": 1.721,
  "vol_a3_per_cell": 134,
  "m_tot_mub_per_cell": 0.00,
  "lattice": [[0.000, 4.065, 4.065], [4.065, 0.000, 4.065], [4.065, 4.065, 0.000]],
  "species": ["Ba", "Ba", "Y", "Pt"],
  "frac_coords": [[0.250, 0.250, 0.250], [0.750, 0.750, 0.750], [0.000, 0.000, 0.000], [0.500, 0.500, 0.500]]
}


11.
{
  "formula": "Ba2YPt",
  "functional": "PBE",
  "state": "optimized geometry",
  "relative_energy_kj_per_mol_fu": 187.2,
  "dft_energy_ev_per_atom": -4.05,
  "dos_ef_per_ev_atom": 1.429,
  "vol_a3_per_cell": 132,
  "m_tot_mub_per_cell": 0.00,
  "lattice": [[3.668, -3.710, 0.000], [3.668, 3.710, 0.000], [0.000, 0.000, 4.848]],
  "species": ["Ba", "Ba", "Y", "Pt"],
  "frac_coords": [[0.000, 0.500, 0.000], [0.500, 0.000, 0.000], [0.000, 0.000, 0.500], [0.500, 0.500, 0.500]]
}


12.
{
  "formula": "Ba2YPt",
  "functional": "PBE",
  "state": "optimized geometry",
  "relative_energy_kj_per_mol_fu": 12.4,
  "dft_energy_ev_per_atom": -4.50,
  "dos_ef_per_ev_atom": 1.200,
  "vol_a3_per_cell": 159,
  "m_tot_mub_per_cell": 0.00,
  "lattice": [[9.832, -1.903, 0.000], [9.832, 1.903, 0.000], [-0.965, 0.000, 4.257]],
  "species": ["Ba", "Ba", "Y", "Pt"],
  "frac_coords": [[0.155, 0.155, 0.154], [0.845, 0.845, 0.846], [0.000, 0.000, 0.500], [0.500, 0.500, 0.000]]
}


What did the ninth record say?
{
  "formula": "Ba2YPt2",
  "functional": "PBE",
  "state": "optimized geometry",
  "dft_energy_ev_per_atom": -5.13,
  "dos_ef_per_ev_atom": 0.819,
  "vol_a3_per_cell": 307,
  "m_tot_mub_per_cell": 0.00,
  "lattice": [[8.023, 0.000, 0.000], [0.000, 8.023, 0.000], [0.000, 0.000, 4.764]],
  "species": ["Ba", "Ba", "Ba", "Ba", "Y", "Y", "Pt", "Pt", "Pt", "Pt"],
  "frac_coords": [[0.157, 0.343, 0.000], [0.343, 0.843, 0.000], [0.657, 0.157, 0.000], [0.843, 0.657, 0.000], [0.000, 0.000, 0.500], [0.500, 0.500, 0.500], [0.157, 0.657, 0.500], [0.343, 0.157, 0.500], [0.657, 0.843, 0.500], [0.843, 0.343, 0.500]]
}